No. 1
A geometry-optimized Pd8Pt2Pb structure, computed with GGA-PBE.

a = 5.4093 Å, b = 7.1288 Å, c = 7.1288 Å
α = 44.42°, β = 79.48°, γ = 79.48°
With the nearest neighbours (Å) after each atom.
Atoms (fractional coordinates):
Pd  0.9969  0.7574  0.7574  2 Pt 2.62-2.79, 7 Pd 2.70-2.88
Pd  0.3379  0.3475  0.8378  7 Pd 2.64-2.89, 2 Pt 2.71-2.82, 1 Pb 2.76
Pd  0.0031  0.2426  0.2426  2 Pt 2.62-2.79, 7 Pd 2.70-2.88
Pd  0.6621  0.6525  0.1622  7 Pd 2.64-2.89, 2 Pt 2.71-2.82, 1 Pb 2.76
Pd  0.6621  0.1622  0.6525  7 Pd 2.64-2.89, 2 Pt 2.71-2.82, 1 Pb 2.76
Pd  0.1880  0.4194  0.4194  6 Pd 2.64-2.89, 1 Pt 2.69
Pd  0.3379  0.8378  0.3475  7 Pd 2.64-2.89, 2 Pt 2.71-2.82, 1 Pb 2.76
Pd  0.8120  0.5806  0.5806  6 Pd 2.64-2.89, 1 Pt 2.69
Pb  0.0000  0.0000  0.0000  8 Pd 2.76-3.00
Pt  0.4802  0.7614  0.7614  7 Pd 2.62-2.82, 2 Pt 2.71
Pt  0.5198  0.2386  0.2386  7 Pd 2.62-2.82, 2 Pt 2.71

Summary:
Energy of formation from the pure elements (meV per atom): 43
Density of states at the Fermi level (states/eV/cell): 16.6
DFT total energy (Ry/atom): -0.37990
Space-group type: C2/m, No. 12

=====

No. 2
A geometry-optimized Pd6PtPb structure, computed with GGA-PBE.

a = 4.0491 Å, b = 4.0491 Å, c = 7.9705 Å
α = 90.00°, β = 90.00°, γ = 90.00°
With the nearest neighbours (Å) after each atom.
Atoms (fractional coordinates):
Pt  0.0000  0.0000  0.5000  12 Pd 2.80-2.86
Pd  0.5000  0.0000  0.7430  2 Pt 2.80, 8 Pd 2.80-2.88, 2 Pb 2.88
Pd  0.0000  0.5000  0.7430  2 Pt 2.80, 8 Pd 2.80-2.88, 2 Pb 2.88
Pd  0.0000  0.5000  0.2570  2 Pt 2.80, 8 Pd 2.80-2.88, 2 Pb 2.88
Pd  0.5000  0.5000  0.5000  8 Pd 2.80, 4 Pt 2.86
Pd  0.5000  0.5000  0.0000  4 Pb 2.86, 8 Pd 2.88
Pd  0.5000  0.0000  0.2570  2 Pt 2.80, 8 Pd 2.80-2.88, 2 Pb 2.88
Pb  0.0000  0.0000  0.0000  12 Pd 2.86-2.88

Summary:
Energy of formation from the pure elements (meV per atom): -119
Density of states at the Fermi level (states/eV/cell): 12.9
DFT total energy (Ry/atom): -0.38458
Space-group type: P4/mmm, No. 123

=====

No. 3
A geometry-optimized Pd2PtPb6 structure, computed with GGA-PBE.

a = 4.8569 Å, b = 7.3222 Å, c = 8.0544 Å
α = 78.63°, β = 72.45°, γ = 70.63°
With the nearest neighbours (Å) after each atom.
Atoms (fractional coordinates):
Pt  0.0000  0.5000  0.5000  8 Pb 2.84-2.98
Pd  0.1485  0.7868  0.9161  6 Pb 2.73-3.05
Pd  0.8515  0.2132  0.0839  6 Pb 2.73-3.05
Pb  0.3606  0.7387  0.5402  1 Pd 2.94, 2 Pt 2.97, 2 Pb 3.26
Pb  0.7631  0.6092  0.8647  3 Pd 2.77-3.05, 1 Pt 2.98
Pb  0.9463  0.8449  0.2624  2 Pd 2.73-2.76, 1 Pt 2.84
Pb  0.6394  0.2613  0.4598  1 Pd 2.94, 2 Pt 2.97, 2 Pb 3.26
Pb  0.2369  0.3908  0.1353  3 Pd 2.77-3.05, 1 Pt 2.98
Pb  0.0537  0.1551  0.7376  2 Pd 2.73-2.76, 1 Pt 2.84

Summary:
Energy of formation from the pure elements (meV per atom): -79
Density of states at the Fermi level (states/eV/cell): 3.8
DFT total energy (Ry/atom): -0.32163
Space-group type: C2/m, No. 12

=====

No. 4
A geometry-optimized Pd5Pt2Pb2 structure, computed with GGA-PBE.

a = 5.6604 Å, b = 7.6974 Å, c = 9.3992 Å
α = 114.17°, β = 107.52°, γ = 90.00°
With the nearest neighbours (Å) after each atom.
Atoms (fractional coordinates):
Pd  0.7498  0.2732  0.5000  2 Pt 2.79, 2 Pb 2.83, 8 Pd 2.85
Pd  0.2502  0.7732  0.5000  2 Pt 2.79, 2 Pb 2.83, 8 Pd 2.85
Pd  0.5961  0.1189  0.6918  2 Pt 2.68-2.70, 4 Pd 2.83-2.85, 2 Pb 2.84-2.86
Pd  0.0956  0.1188  0.6912  2 Pt 2.68-2.70, 4 Pd 2.83-2.85, 2 Pb 2.84-2.85
Pd  0.4044  0.9271  0.3082  2 Pt 2.68-2.70, 4 Pd 2.83-2.85, 2 Pb 2.84-2.86
Pd  0.9044  0.4276  0.3088  2 Pt 2.68-2.70, 4 Pd 2.83-2.85, 2 Pb 2.84-2.85
Pd  0.9044  0.9276  0.3088  2 Pt 2.68-2.70, 4 Pd 2.83-2.85, 2 Pb 2.84-2.85
Pd  0.5956  0.6189  0.6918  2 Pt 2.68-2.70, 4 Pd 2.83-2.85, 2 Pb 2.84-2.86
Pd  0.0956  0.6188  0.6912  2 Pt 2.68-2.70, 4 Pd 2.83-2.85, 2 Pb 2.84-2.85
Pd  0.4039  0.4271  0.3082  2 Pt 2.68-2.70, 4 Pd 2.83-2.85, 2 Pb 2.84-2.86
Pt  0.5783  0.1025  0.1552  1 Pt 2.51, 5 Pd 2.68-2.79
Pt  0.0769  0.6025  0.1552  1 Pt 2.51, 5 Pd 2.68-2.79
Pt  0.4217  0.9473  0.8448  1 Pt 2.51, 5 Pd 2.68-2.79
Pt  0.9231  0.4473  0.8448  1 Pt 2.51, 5 Pd 2.68-2.79
Pb  0.5000  0.6460  0.0000  4 Pd 3.03, 6 Pt 3.18-3.24
Pb  0.2501  0.2745  0.5000  10 Pd 2.83-2.86
Pb  0.0000  0.1460  0.0000  4 Pd 3.03, 6 Pt 3.18-3.24
Pb  0.7499  0.7745  0.5000  10 Pd 2.83-2.86

Summary:
Energy of formation from the pure elements (meV per atom): -52
Density of states at the Fermi level (states/eV/cell): 16.8
DFT total energy (Ry/atom): -0.37506
Space-group type: Ima2, No. 46